No. 1
DFT (PBE) results for crystalline Tm6Bi3Os at its relaxed geometry.

The structure belongs to space group P2_1/c (No. 14); the cell edges are 6.256, 8.447 and 12.517 Å and the angles 90.00°, 118.34° and 90.00°. Symmetry generates all atoms from Tm at (0.049, 0.201, 0.440), Tm at (0.305, 0.654, 0.434), Tm at (0.357, 0.034, 0.227), Bi at (0.150, 0.120, 0.737), Bi at (0.500, 0.000, 0.500) and Os at (0.000, 0.000, 0.000).

Its formation energy from the elements is -463 meV per atom.

***

No. 2
DFT (PBE) results for crystalline KCuRe3 at its relaxed geometry.

The structure belongs to space group Pm-3m (No. 221); the cell edges are 4.639, 4.639 and 4.639 Å and the angles 90.00°, 90.00° and 90.00°. Symmetry generates all atoms from K at (0.000, 0.000, 0.000), Cu at (0.500, 0.500, 0.500) and Re at (0.000, 0.500, 0.500).

Its distance to the lowest polymorph of the same formula is 0 meV per atom. Its formation energy from the elements is 2434 meV per atom.

***

No. 3
DFT (PBE) results for crystalline CsTiSe2Br at its relaxed geometry.

The structure belongs to space group P4/mmm (No. 123); the cell edges are 5.684, 5.684 and 6.332 Å and the angles 90.00°, 90.00° and 90.00°. Symmetry generates all atoms from Cs at (0.000, 0.000, 0.000), Ti at (0.500, 0.500, 0.500), Se at (0.000, 0.500, 0.000) and Br at (0.000, 0.000, 0.500).

Its distance to the lowest polymorph of the same formula is 1999 meV per atom.

***

No. 4
DFT (PBE) results for crystalline BaIn2Ru at its relaxed geometry.

The structure belongs to space group I-4m2 (No. 119); the cell edges are 5.242, 5.242 and 7.404 Å and the angles 90.00°, 90.00° and 90.00°. Symmetry generates all atoms from Ba at (0.000, 0.000, 0.000), In at (0.000, 0.000, 0.500), In at (0.000, 0.500, 0.750) and Ru at (0.000, 0.500, 0.250).

Its formation energy from the elements is 391 meV per atom.

***

No. 5
DFT (PBE) results for crystalline Zn2AgTe3 at its relaxed geometry.

The structure belongs to space group Cc (No. 9); the cell edges are 7.653, 13.291 and 7.530 Å and the angles 90.00°, 109.04° and 90.00°. Symmetry generates all atoms from Zn at (0.000, 0.083, 0.000), Zn at (0.002, 0.248, 0.501), Ag at (0.002, 0.416, 0.998), Te at (0.119, 0.082, 0.374), Te at (0.133, 0.244, 0.876) and Te at (0.134, 0.412, 0.385).

The value obtained for the total energy is -65.84 eV per cell.

***

No. 6
DFT (PBE) results for crystalline LiTlGe2Cl6 at its relaxed geometry.

The structure belongs to space group C2/c (No. 15); the cell edges are 14.260, 10.729 and 10.428 Å and the angles 90.00°, 127.98° and 90.00°. Symmetry generates all atoms from Li at (0.000, 0.225, 0.250), Tl at (0.000, 0.181, 0.750), Ge at (0.192, 0.491, 0.147), Cl at (0.083, 0.321, 0.512), Cl at (0.114, 0.080, 0.210) and Cl at (0.189, 0.411, 0.934).

The value obtained for the total energy is -139.86 eV per cell.